## ReNi3 (meta-GGA SCAN)

Data for a PBEsol-optimized structure of ReNi3.

abc: 2.560 4.347 4.367
angles: 99.70 107.04 90.00
Fractional coordinates of all 4 atoms:
Ni  0.751  0.749  0.503
Ni  0.500  0.000  0.000
Ni  0.249  0.251  0.497
Re  0.000  0.500  0.000

Calculated values
* symmetry: C2/m
* ρ: 13.2 g cm⁻³
* E_form: 0.043 eV/atom
* volume: 11.43 Å³/atom